(1)
Mg2CoPt | Alexandria | SCAN | single point on PBEsol structure; DOS(E_F) = 2.521 states/eV/cell; ΔE_f = -0.3859 eV per atom
1.0
3.045 0.000 0.000
0.000 3.045 0.000
0.000 0.000 6.172
Mg Co Pt
2 1 1
Direct
0.000 0.000 0.738
0.000 0.000 0.262
0.500 0.500 0.500
0.500 0.500 0.000

***

(2)
Mg3CoPt | Alexandria | SCAN | single point on PBEsol structure; DOS(E_F) = 3.053 states/eV/cell; ΔE_f = 0.5111 eV per atom
1.0
-3.772 -1.393 -2.104
1.332 -4.313 0.468
-2.143 -0.228 3.994
Mg Co Pt
3 1 1
Direct
0.500 0.000 0.000
0.000 0.000 0.500
0.000 0.500 0.000
0.000 0.000 0.000
0.500 0.500 0.500

***

(3)
RbMg3Co | Alexandria | SCAN | single point on PBEsol structure; DOS(E_F) = 7.979 states/eV/cell; ΔE_f = 1.6975 eV per atom
1.0
6.532 0.000 0.000
0.000 6.532 0.000
0.000 0.000 6.532
Mg Rb Co
3 1 1
Direct
0.000 0.500 0.000
0.000 0.000 0.500
0.500 0.000 0.000
0.000 0.000 0.000
0.500 0.500 0.500

***

(4)
Rb2Mg2Co | Alexandria | SCAN | single point on PBEsol structure; DOS(E_F) = 2.979 states/eV/cell; ΔE_f = 0.7362 eV per atom
1.0
4.129 0.000 0.000
0.000 4.129 0.000
-2.064 -2.064 11.170
Rb Mg Co
2 2 1
Direct
0.409 0.409 0.818
0.591 0.591 0.182
0.750 0.250 0.500
0.250 0.750 0.500
0.000 0.000 0.000

***

(5)
Mg2CoRe2 | Alexandria | SCAN | single point on PBEsol structure; DOS(E_F) = 3.267 states/eV/cell; ΔE_f = 1.1279 eV per atom
1.0
-2.798 -1.577 -1.086
1.915 -2.319 -1.566
0.412 -1.927 7.027
Mg Re Co
2 2 1
Direct
0.750 0.250 0.500
0.250 0.750 0.500
0.585 0.585 0.170
0.415 0.415 0.830
0.000 0.000 0.000

***

(6)
MgCo2Re | Alexandria | SCAN | single point on PBEsol structure; DOS(E_F) = 2.755 states/eV/cell; ΔE_f = 0.2434 eV per atom
1.0
2.646 0.000 0.000
0.000 4.372 0.011
0.000 -0.828 4.293
Co Re Mg
2 1 1
Direct
0.000 0.000 0.500
0.000 0.500 0.000
0.500 0.500 0.500
0.500 0.000 0.000

***

(7)
MgCo2Re | Alexandria | SCAN | single point on PBEsol structure; DOS(E_F) = 3.344 states/eV/cell; ΔE_f = 0.2481 eV per atom
1.0
2.673 0.000 0.000
0.000 3.426 0.000
0.000 0.000 5.647
Mg Co Re
1 2 1
Direct
0.500 0.500 0.000
0.000 0.000 0.280
0.000 0.000 0.720
0.500 0.500 0.500

***

(8)
MgCo2Re | Alexandria | SCAN | single point on PBEsol structure; DOS(E_F) = 2.070 states/eV/cell; ΔE_f = 0.2604 eV per atom
1.0
2.678 0.000 0.000
1.339 2.319 0.000
1.339 0.773 8.497
Mg Re Co
1 1 2
Direct
0.495 0.495 0.514
0.257 0.257 0.228
0.743 0.743 0.770
0.004 0.004 0.989

***

(9)
MgCoRe2 | Alexandria | SCAN | single point on PBEsol structure; DOS(E_F) = 2.385 states/eV/cell; ΔE_f = 0.2207 eV per atom
1.0
-2.139 2.055 -1.109
-2.411 -3.284 -1.435
0.327 0.497 4.812
Re Mg Co
2 1 1
Direct
0.011 0.011 0.023
0.754 0.254 0.508
0.240 0.740 0.481
0.494 0.494 0.988

***

(10)
MgCo3Re | Alexandria | SCAN | single point on PBEsol structure; DOS(E_F) = 2.122 states/eV/cell; ΔE_f = 1.8124 eV per atom
1.0
-2.856 -2.910 0.235
1.467 -1.147 3.635
-2.524 2.627 1.847
Co Mg Re
3 1 1
Direct
0.000 0.000 0.500
0.500 0.000 0.000
0.000 0.500 0.000
0.000 0.000 0.000
0.500 0.500 0.500

***

(11)
MgCoRe2 | Alexandria | SCAN | single point on PBEsol structure; DOS(E_F) = 2.356 states/eV/cell; ΔE_f = 0.2505 eV per atom
1.0
2.631 0.000 0.000
0.000 2.631 0.000
0.000 0.000 8.097
Re Co Mg
2 1 1
Direct
0.000 0.000 0.778
0.000 0.000 0.222
0.500 0.500 0.000
0.500 0.500 0.500

***

(12)
MgCoRe2 | Alexandria | SCAN | single point on PBEsol structure; DOS(E_F) = 3.910 states/eV/cell; ΔE_f = 0.3459 eV per atom
1.0
2.711 0.000 0.000
0.000 3.760 0.000
0.000 0.000 5.528
Re Mg Co
2 1 1
Direct
0.500 0.500 0.249
0.000 0.000 0.023
0.500 0.500 0.733
0.000 0.000 0.496

***

The lowest DOS(E_F) belongs to which entry?
number 8